(w)
{
  "formula": "LiHoInPb",
  "functional": "PBE",
  "state": "optimized geometry",
  "magnetic_moment_mub_per_cell": 0.00,
  "space_group": "F-43m, No. 216",
  "density_g_cm3": 8.2,
  "lattice": [[5.212, 0.000, 0.000], [2.606, 4.514, 0.000], [2.606, 1.505, 4.256]],
  "species": ["Li", "In", "Ho", "Pb"],
  "frac_coords": [[0.750, 0.750, 0.750], [0.500, 0.500, 0.500], [0.250, 0.250, 0.250], [0.000, 0.000, 0.000]]
}


(x)
{
  "formula": "LiHoInPb",
  "functional": "PBE",
  "state": "optimized geometry",
  "magnetic_moment_mub_per_cell": 0.00,
  "space_group": "Pmmm, No. 47",
  "density_g_cm3": 8.5,
  "lattice": [[-1.164, 2.671, 3.344], [-3.647, 1.474, -2.447], [-2.627, -3.447, 1.838]],
  "species": ["Pb", "In", "Ho", "Li"],
  "frac_coords": [[0.500, 0.000, 0.500], [0.500, 0.500, 0.000], [0.000, 0.500, 0.500], [0.000, 0.000, 0.000]]
}


Energies relative to the most stable structure, in meV per atom: (w) 75; (x) 0.


(w)
{
  "formula": "HoMgIn4",
  "functional": "PBE",
  "state": "optimized geometry",
  "magnetic_moment_mub_per_cell": 0.00,
  "space_group": "F-43m, No. 216",
  "density_g_cm3": 7.0,
  "lattice": [[-4.716, 0.257, -3.741], [0.837, -0.520, -5.944], [-1.837, -4.964, -2.878]],
  "species": ["Mg", "In", "In", "In", "In", "Ho"],
  "frac_coords": [[0.250, 0.250, 0.250], [0.625, 0.625, 0.625], [0.625, 0.625, 0.125], [0.125, 0.625, 0.625], [0.625, 0.125, 0.625], [0.000, 0.000, 0.000]]
}


(x)
{
  "formula": "HoMgIn4",
  "functional": "PBE",
  "state": "optimized geometry",
  "magnetic_moment_mub_per_cell": 0.00,
  "space_group": "P4/mmm, No. 123",
  "density_g_cm3": 6.2,
  "lattice": [[4.678, 0.000, -0.001], [0.000, 4.681, -0.002], [0.004, 0.006, 7.907]],
  "species": ["In", "In", "In", "In", "Mg", "Ho"],
  "frac_coords": [[0.501, 0.998, 0.727], [0.001, 0.497, 0.269], [0.001, 0.497, 0.727], [0.501, 0.997, 0.269], [0.001, 0.997, 0.498], [0.501, 0.497, 0.998]]
}


Energies relative to the most stable structure, in meV per atom: (w) 0; (x) 52.


(w)
{
  "formula": "Ho4MgIn2",
  "functional": "PBE",
  "state": "optimized geometry",
  "magnetic_moment_mub_per_cell": 0.00,
  "space_group": "R-3m, No. 166",
  "density_g_cm3": 7.6,
  "lattice": [[-4.365, 2.396, 1.607], [-3.391, -2.529, 3.080], [1.462, 2.784, 8.339]],
  "species": ["In", "In", "Ho", "Ho", "Ho", "Ho", "Mg"],
  "frac_coords": [[0.255, 0.255, 0.235], [0.745, 0.745, 0.765], [0.130, 0.130, 0.609], [0.616, 0.616, 0.153], [0.870, 0.870, 0.391], [0.384, 0.384, 0.847], [0.000, 0.000, 0.000]]
}


(x)
{
  "formula": "Ho4MgIn2",
  "functional": "PBE",
  "state": "optimized geometry",
  "magnetic_moment_mub_per_cell": 0.00,
  "space_group": "P2_1/m, No. 11",
  "density_g_cm3": 7.6,
  "lattice": [[-4.074, 4.142, 4.734], [-4.277, -4.780, 0.501], [6.457, -5.381, 3.780]],
  "species": ["Ho", "Ho", "Ho", "Ho", "Ho", "Ho", "Ho", "Ho", "In", "In", "In", "In", "Mg", "Mg"],
  "frac_coords": [[0.426, 0.996, 0.781], [0.970, 0.250, 0.168], [0.028, 0.750, 0.451], [0.972, 0.250, 0.549], [0.030, 0.750, 0.832], [0.574, 0.004, 0.219], [0.426, 0.504, 0.781], [0.574, 0.496, 0.219], [0.600, 0.750, 0.539], [0.400, 0.250, 0.461], [0.203, 0.250, 0.947], [0.797, 0.750, 0.053], [0.222, 0.750, 0.215], [0.778, 0.250, 0.785]]
}


Energies relative to the most stable structure, in meV per atom: (w) 0; (x) 108.


(w)
{
  "formula": "Ho2MgIn2",
  "functional": "PBE",
  "state": "optimized geometry",
  "magnetic_moment_mub_per_cell": 0.00,
  "space_group": "P4/mbm, No. 127",
  "density_g_cm3": 7.3,
  "lattice": [[-2.547, -2.731, -2.839], [2.144, -6.069, 3.916], [-5.952, 0.829, 4.543]],
  "species": ["Mg", "Mg", "In", "In", "In", "In", "Ho", "Ho", "Ho", "Ho"],
  "frac_coords": [[0.000, 0.000, 0.000], [0.000, 0.500, 0.500], [0.000, 0.363, 0.863], [0.000, 0.637, 0.137], [0.000, 0.863, 0.637], [0.000, 0.137, 0.363], [0.500, 0.667, 0.833], [0.500, 0.167, 0.667], [0.500, 0.833, 0.333], [0.500, 0.333, 0.167]]
}


(x)
{
  "formula": "Ho2MgIn2",
  "functional": "PBE",
  "state": "optimized geometry",
  "magnetic_moment_mub_per_cell": 0.00,
  "space_group": "Immm, No. 71",
  "density_g_cm3": 7.2,
  "lattice": [[4.505, 0.000, 0.000], [2.252, 5.633, 0.215], [2.252, 1.716, 5.370]],
  "species": ["Mg", "Ho", "Ho", "In", "In"],
  "frac_coords": [[0.000, 0.000, 0.000], [0.204, 0.296, 0.296], [0.796, 0.704, 0.704], [0.500, 0.725, 0.275], [0.500, 0.275, 0.725]]
}


Energies relative to the most stable structure, in meV per atom: (w) 0; (x) 80.


(w)
{
  "formula": "Ho6MgIn",
  "functional": "PBE",
  "state": "optimized geometry",
  "magnetic_moment_mub_per_cell": 0.00,
  "space_group": "R-3, No. 148",
  "density_g_cm3": 8.1,
  "lattice": [[-5.846, -6.380, 1.364], [1.509, -8.059, -3.085], [0.169, -5.651, 2.413]],
  "species": ["In", "Mg", "Ho", "Ho", "Ho", "Ho", "Ho", "Ho"],
  "frac_coords": [[0.500, 0.500, 0.500], [0.000, 0.000, 0.000], [0.027, 0.516, 0.203], [0.483, 0.746, 0.796], [0.746, 0.974, 0.796], [0.517, 0.254, 0.204], [0.973, 0.484, 0.797], [0.254, 0.026, 0.204]]
}


(x)
{
  "formula": "Ho6MgIn",
  "functional": "PBE",
  "state": "optimized geometry",
  "magnetic_moment_mub_per_cell": 0.00,
  "space_group": "P4/mmm, No. 123",
  "density_g_cm3": 8.2,
  "lattice": [[-2.360, -1.585, 3.939], [-2.964, -2.612, -2.827], [6.081, -7.554, 0.604]],
  "species": ["Ho", "Ho", "Ho", "Ho", "Ho", "Ho", "Mg", "In"],
  "frac_coords": [[0.000, 0.500, 0.248], [0.000, 0.500, 0.752], [0.500, 0.000, 0.752], [0.500, 0.000, 0.248], [0.500, 0.500, 0.500], [0.500, 0.500, 0.000], [0.000, 0.000, 0.500], [0.000, 0.000, 0.000]]
}


Energies relative to the most stable structure, in meV per atom: (w) 58; (x) 0.


(w)
{
  "formula": "Ho2MgIn",
  "functional": "PBE",
  "state": "optimized geometry",
  "magnetic_moment_mub_per_cell": 0.00,
  "space_group": "R3m, No. 160",
  "density_g_cm3": 6.9,
  "lattice": [[-1.760, 2.899, -0.838], [-2.778, 0.965, 1.888], [4.826, 6.991, 6.762]],
  "species": ["Mg", "Ho", "Ho", "In"],
  "frac_coords": [[0.500, 0.500, 0.500], [0.253, 0.253, 0.240], [0.080, 0.080, 0.760], [0.667, 0.667, 0.000]]
}


(x)
{
  "formula": "Ho2MgIn",
  "functional": "PBE",
  "state": "optimized geometry",
  "magnetic_moment_mub_per_cell": 0.00,
  "space_group": "P4/mmm, No. 123",
  "density_g_cm3": 7.4,
  "lattice": [[3.824, 0.000, 0.000], [0.000, 5.246, 0.000], [0.000, 0.000, 5.246]],
  "species": ["Ho", "Ho", "In", "Mg"],
  "frac_coords": [[0.000, 0.500, 0.000], [0.000, 0.000, 0.500], [0.500, 0.500, 0.500], [0.500, 0.000, 0.000]]
}


Energies relative to the most stable structure, in meV per atom: (w) 200; (x) 0.


(w)
{
  "formula": "Ho3MgIn2",
  "functional": "PBE",
  "state": "optimized geometry",
  "magnetic_moment_mub_per_cell": 0.00,
  "space_group": "P-3m1, No. 164",
  "density_g_cm3": 7.9,
  "lattice": [[5.291, 0.000, 0.000], [-2.646, 4.583, 0.000], [0.000, 0.000, 12.945]],
  "species": ["In", "In", "In", "In", "Mg", "Mg", "Ho", "Ho", "Ho", "Ho", "Ho", "Ho"],
  "frac_coords": [[0.667, 0.333, 0.824], [0.333, 0.667, 0.176], [0.000, 0.000, 0.000], [0.000, 0.000, 0.500], [0.667, 0.333, 0.332], [0.333, 0.667, 0.668], [0.333, 0.667, 0.919], [0.667, 0.333, 0.581], [0.333, 0.667, 0.419], [0.000, 0.000, 0.752], [0.667, 0.333, 0.081], [0.000, 0.000, 0.248]]
}


(x)
{
  "formula": "Ho3MgIn2",
  "functional": "PBE",
  "state": "optimized geometry",
  "magnetic_moment_mub_per_cell": 0.00,
  "space_group": "P4/mmm, No. 123",
  "density_g_cm3": 7.9,
  "lattice": [[3.737, 0.000, 0.000], [0.000, 3.737, 0.000], [0.000, 0.000, 11.297]],
  "species": ["Ho", "Ho", "Ho", "In", "In", "Mg"],
  "frac_coords": [[0.000, 0.000, 0.663], [0.000, 0.000, 0.000], [0.000, 0.000, 0.337], [0.500, 0.500, 0.827], [0.500, 0.500, 0.173], [0.500, 0.500, 0.500]]
}


Energies relative to the most stable structure, in meV per atom: (w) 0; (x) 17.


(w)
{
  "formula": "HoMgInPb",
  "functional": "PBE",
  "state": "optimized geometry",
  "magnetic_moment_mub_per_cell": 0.00,
  "space_group": "F-43m, No. 216",
  "density_g_cm3": 8.0,
  "lattice": [[5.303, 0.000, 0.000], [2.652, 4.593, 0.000], [2.652, 1.531, 4.330]],
  "species": ["Mg", "In", "Ho", "Pb"],
  "frac_coords": [[0.000, 0.000, 0.000], [0.250, 0.250, 0.250], [0.500, 0.500, 0.500], [0.750, 0.750, 0.750]]
}


(x)
{
  "formula": "HoMgInPb",
  "functional": "PBE",
  "state": "optimized geometry",
  "magnetic_moment_mub_per_cell": 0.00,
  "space_group": "Pmmm, No. 47",
  "density_g_cm3": 8.4,
  "lattice": [[4.489, 0.000, 0.000], [0.000, 4.671, 0.000], [0.000, 0.000, 4.840]],
  "species": ["Ho", "Pb", "In", "Mg"],
  "frac_coords": [[0.500, 0.000, 0.500], [0.000, 0.500, 0.500], [0.000, 0.000, 0.000], [0.500, 0.500, 0.000]]
}


Energies relative to the most stable structure, in meV per atom: (w) 151; (x) 0.


(w)
{
  "formula": "HoMgInSn",
  "functional": "PBE",
  "state": "optimized geometry",
  "magnetic_moment_mub_per_cell": 0.00,
  "space_group": "F-43m, No. 216",
  "density_g_cm3": 6.9,
  "lattice": [[5.233, 0.000, 0.000], [2.616, 4.532, 0.000], [2.616, 1.511, 4.273]],
  "species": ["Sn", "In", "Mg", "Ho"],
  "frac_coords": [[0.250, 0.250, 0.250], [0.750, 0.750, 0.750], [0.500, 0.500, 0.500], [0.000, 0.000, 0.000]]
}


(x)
{
  "formula": "HoMgInSn",
  "functional": "PBE",
  "state": "optimized geometry",
  "magnetic_moment_mub_per_cell": 0.00,
  "space_group": "Pmmm, No. 47",
  "density_g_cm3": 7.2,
  "lattice": [[4.443, 0.000, 0.000], [0.000, 4.601, 0.000], [0.000, 0.000, 4.753]],
  "species": ["Ho", "Sn", "In", "Mg"],
  "frac_coords": [[0.500, 0.500, 0.000], [0.000, 0.000, 0.000], [0.000, 0.500, 0.500], [0.500, 0.000, 0.500]]
}


Energies relative to the most stable structure, in meV per atom: (w) 182; (x) 0.


(w)
{
  "formula": "Ho2MnIn",
  "functional": "PBE",
  "state": "optimized geometry",
  "magnetic_moment_mub_per_cell": 3.15,
  "space_group": "P4/mmm, No. 123",
  "density_g_cm3": 8.5,
  "lattice": [[-0.708, 0.148, 3.512], [-0.435, -3.559, 0.063], [7.341, -0.870, 1.517]],
  "species": ["In", "Mn", "Ho", "Ho"],
  "frac_coords": [[0.500, 0.500, 0.500], [0.500, 0.500, 0.000], [0.000, 0.000, 0.771], [0.000, 0.000, 0.229]]
}


(x)
{
  "formula": "Ho2MnIn",
  "functional": "PBE",
  "state": "optimized geometry",
  "magnetic_moment_mub_per_cell": 3.40,
  "space_group": "Fm-3m, No. 225",
  "density_g_cm3": 8.5,
  "lattice": [[5.175, 0.000, 0.000], [2.588, 4.482, 0.000], [2.588, 1.494, 4.226]],
  "species": ["Ho", "Ho", "Mn", "In"],
  "frac_coords": [[0.250, 0.250, 0.250], [0.750, 0.750, 0.750], [0.500, 0.500, 0.500], [0.000, 0.000, 0.000]]
}


(y)
{
  "formula": "Ho2MnIn",
  "functional": "PBE",
  "state": "optimized geometry",
  "magnetic_moment_mub_per_cell": 3.17,
  "space_group": "P4/mmm, No. 123",
  "density_g_cm3": 8.6,
  "lattice": [[-1.260, -0.565, 3.966], [1.446, -4.567, -0.191], [4.339, 1.308, 1.564]],
  "species": ["Mn", "In", "Ho", "Ho"],
  "frac_coords": [[0.500, 0.000, 0.000], [0.500, 0.500, 0.500], [0.000, 0.000, 0.500], [0.000, 0.500, 0.000]]
}


Energies relative to the most stable structure, in meV per atom: (w) 0; (x) 58; (y) 53.


(w)
{
  "formula": "NaHoIn",
  "functional": "PBE",
  "state": "optimized geometry",
  "magnetic_moment_mub_per_cell": 0.30,
  "space_group": "I4mm, No. 107",
  "density_g_cm3": 5.8,
  "lattice": [[-0.131, -0.819, 3.302], [-0.214, -3.295, -0.826], [7.664, 1.528, -1.071]],
  "species": ["Ho", "Na", "In"],
  "frac_coords": [[0.931, 0.931, 0.862], [0.630, 0.630, 0.259], [0.289, 0.289, 0.578]]
}


(x)
{
  "formula": "NaHoIn",
  "functional": "PBE",
  "state": "optimized geometry",
  "magnetic_moment_mub_per_cell": 0.00,
  "space_group": "P3m1, No. 156",
  "density_g_cm3": 6.2,
  "lattice": [[3.335, 0.000, 0.000], [0.000, 5.284, 0.000], [0.000, -2.642, 4.576]],
  "species": ["Na", "In", "Ho"],
  "frac_coords": [[0.831, 0.000, 0.000], [0.835, 0.667, 0.333], [0.333, 0.333, 0.667]]
}


Energies relative to the most stable structure, in meV per atom: (w) 35; (x) 0.


(w)
{
  "formula": "NaHoInSn",
  "functional": "PBE",
  "state": "optimized geometry",
  "magnetic_moment_mub_per_cell": 0.00,
  "space_group": "Pmmm, No. 47",
  "density_g_cm3": 6.9,
  "lattice": [[-2.598, -3.624, -0.103], [0.904, -0.518, -4.549], [3.843, -2.785, 1.081]],
  "species": ["Na", "Ho", "In", "Sn"],
  "frac_coords": [[0.500, 0.000, 0.500], [0.500, 0.500, 0.000], [0.000, 0.500, 0.500], [0.000, 0.000, 0.000]]
}


(x)
{
  "formula": "NaHoInSn",
  "functional": "PBE",
  "state": "optimized geometry",
  "magnetic_moment_mub_per_cell": 0.00,
  "space_group": "F-43m, No. 216",
  "density_g_cm3": 6.7,
  "lattice": [[5.299, 0.000, 0.000], [2.649, 4.589, 0.000], [2.649, 1.530, 4.326]],
  "species": ["Na", "In", "Ho", "Sn"],
  "frac_coords": [[0.500, 0.500, 0.500], [0.750, 0.750, 0.750], [0.000, 0.000, 0.000], [0.250, 0.250, 0.250]]
}


Energies relative to the most stable structure, in meV per atom: (w) 0; (x) 71.


(w)
{
  "formula": "NaHoTlIn",
  "functional": "PBE",
  "state": "optimized geometry",
  "magnetic_moment_mub_per_cell": 0.00,
  "space_group": "F-43m, No. 216",
  "density_g_cm3": 8.0,
  "lattice": [[-2.954, -0.045, 4.404], [2.336, -0.159, 4.758], [-0.119, 4.260, 3.156]],
  "species": ["Na", "Tl", "In", "Ho"],
  "frac_coords": [[0.000, 0.000, 0.000], [0.250, 0.250, 0.250], [0.750, 0.750, 0.750], [0.500, 0.500, 0.500]]
}


(x)
{
  "formula": "NaHoTlIn",
  "functional": "PBE",
  "state": "optimized geometry",
  "magnetic_moment_mub_per_cell": 0.00,
  "space_group": "Pmmm, No. 47",
  "density_g_cm3": 8.0,
  "lattice": [[3.827, 0.000, 0.000], [0.000, 5.241, 0.000], [0.000, 0.000, 5.268]],
  "species": ["Ho", "Na", "Tl", "In"],
  "frac_coords": [[0.000, 0.500, 0.500], [0.000, 0.000, 0.000], [0.500, 0.500, 0.000], [0.500, 0.000, 0.500]]
}


Energies relative to the most stable structure, in meV per atom: (w) 30; (x) 0.